VASP calculation (GGA-PBE) on an optimized crystal structure of TlB3Pb.

Structure (extended XYZ):
```
5
Lattice="4.777 0.000 0.000 0.000 4.777 0.000 0.000 0.000 4.777" Properties=species:S:1:pos:R:3 pbc="T T T"
Tl 0.000 0.000 0.000
B 0.000 2.389 2.389
B 2.389 0.000 2.389
B 2.389 2.389 0.000
Pb 2.389 2.389 2.389
```

Distance to the lowest polymorph of the same formula ... 23 meV per atom
Calculated formation energy ... 222 kJ per mole of atoms
Total energy ... -14.6 eV per cell
Symmetry ... Pm-3m